1.
{
  "formula": "TmPuNp2Sb4",
  "functional": "PBE-GGA",
  "state": "optimized geometry",
  "total_energy_ev_per_atom": -8.155,
  "raw_formation_energy_ev_per_atom": -0.509,
  "cell": [[4.378, 0.000, 0.000], [0.000, 7.568, 0.126], [0.000, -2.648, 7.165]],
  "species": ["Pu", "Sb", "Np", "Tm", "Sb", "Sb", "Sb", "Np"],
  "frac_coords": [[0.500, 0.500, 0.000], [0.500, 0.753, 0.752], [0.500, 0.000, 0.500], [0.000, 0.000, 0.000], [0.500, 0.247, 0.248], [0.000, 0.753, 0.250], [0.000, 0.247, 0.750], [0.000, 0.500, 0.500]]
}



2.
{
  "formula": "TmPu2NpSb4",
  "functional": "PBE-GGA",
  "state": "optimized geometry",
  "total_energy_ev_per_atom": -8.409,
  "raw_formation_energy_ev_per_atom": -0.588,
  "cell": [[4.394, 0.000, 0.000], [0.000, 7.607, 0.158], [0.000, -2.672, 7.125]],
  "species": ["Sb", "Sb", "Pu", "Np", "Tm", "Pu", "Sb", "Sb"],
  "frac_coords": [[0.500, 0.251, 0.246], [0.500, 0.749, 0.754], [0.000, 0.500, 0.500], [0.000, 0.000, 0.000], [0.500, 0.500, 0.000], [0.500, 0.000, 0.500], [0.000, 0.748, 0.245], [0.000, 0.252, 0.755]]
}



3.
{
  "formula": "PuNp2USb4",
  "functional": "PBE-GGA",
  "state": "optimized geometry",
  "total_energy_ev_per_atom": -8.775,
  "raw_formation_energy_ev_per_atom": -0.276,
  "cell": [[-1.963, -3.582, 1.454], [6.855, -2.738, 2.508], [-3.169, 3.979, 5.523]],
  "species": ["U", "Pu", "Np", "Sb", "Np", "Sb", "Sb", "Sb"],
  "frac_coords": [[0.500, 0.500, 0.000], [0.000, 0.000, 0.000], [0.500, 0.000, 0.500], [0.500, 0.749, 0.749], [0.000, 0.500, 0.500], [0.500, 0.251, 0.251], [0.000, 0.749, 0.249], [0.000, 0.251, 0.751]]
}



4.
{
  "formula": "Pu2NpSc",
  "functional": "PBE-GGA",
  "state": "optimized geometry",
  "total_energy_ev_per_atom": -11.362,
  "ef_mev_per_atom": 622,
  "cell": [[3.655, 0.000, 0.000], [1.828, 3.165, 0.000], [1.828, 1.055, 8.342]],
  "species": ["Np", "Pu", "Sc", "Pu"],
  "frac_coords": [[0.500, 0.500, 0.500], [0.886, 0.886, 0.343], [0.000, 0.000, 0.000], [0.114, 0.114, 0.657]]
}



5.
{
  "formula": "PuNpSc",
  "functional": "PBE-GGA",
  "state": "optimized geometry",
  "de_polymorph_ev_per_fu": 0.01,
  "total_energy_ev_per_atom": -11.016,
  "ef_mev_per_atom": 185,
  "cell": [[3.342, 0.000, 0.000], [0.000, 3.342, 0.000], [-1.671, -1.671, 5.446]],
  "species": ["Pu", "Np", "Sc"],
  "frac_coords": [[0.288, 0.288, 0.575], [0.715, 0.715, 0.429], [0.998, 0.998, 0.996]]
}



6.
{
  "formula": "PuNpSc",
  "functional": "PBE-GGA",
  "state": "optimized geometry",
  "de_polymorph_ev_per_fu": 0.00,
  "total_energy_ev_per_atom": -11.020,
  "ef_mev_per_atom": 181,
  "cell": [[4.274, 0.000, 0.000], [0.000, 4.269, 0.198], [0.000, -0.347, 7.064]],
  "species": ["Np", "Np", "Sc", "Pu", "Pu", "Sc"],
  "frac_coords": [[0.750, 0.251, 0.179], [0.250, 0.749, 0.821], [0.250, 0.751, 0.354], [0.750, 0.750, 0.000], [0.250, 0.250, 0.000], [0.750, 0.249, 0.646]]
}



Number 1: D(E_F) 32.629 states/eV/f.u.. Number 2: D(E_F) 40.871 states/eV/f.u.. Number 3: D(E_F) 36.998 states/eV/f.u.. Number 4: D(E_F) 10.707 states/eV/f.u.. Number 5: D(E_F) 4.411 states/eV/f.u.. Number 6: D(E_F) 5.557 states/eV/f.u..